No. 1
Density functional theory data (GGA-PBE) for a relaxed structure of La2PmNpN5.

Geometry as CIF:
```
data_La2PmNpN5
_chemical_formula_sum 'La2 Pm1 Np1 N5'
_symmetry_space_group_name_H-M 'P 1'
_symmetry_Int_Tables_number 1
_cell_length_a 4.088
_cell_length_b 4.088
_cell_length_c 9.128
_cell_angle_alpha 90.00
_cell_angle_beta 90.00
_cell_angle_gamma 90.00
loop_
_symmetry_equiv_pos_as_xyz
'x,y,z'
loop_
_atom_site_label
_atom_site_type_symbol
_atom_site_fract_x
_atom_site_fract_y
_atom_site_fract_z
_atom_site_occupancy
La1 La 0.500 0.500 0.273 1
La2 La 0.500 0.500 0.727 1
Pm1 Pm 0.000 0.000 0.000 1
Np1 Np 0.000 0.000 0.500 1
N1 N 0.000 0.500 0.500 1
N2 N 0.500 0.000 0.500 1
N3 N 0.000 0.000 0.743 1
N4 N 0.000 0.000 0.257 1
N5 N 0.500 0.500 0.000 1
```

Calculated values
Crystal system: tetragonal
M_tot (μB/atom): 0.104
DFT total energy (eV/atom): -8.879
Formation energy without anion corrections (eV/atom): -1.193



No. 2
Density functional theory data (GGA-PBE) for a relaxed structure of Rb2TaTe4.

Geometry as CIF:
```
data_Rb2TaTe4
_chemical_formula_sum 'Rb4 Ta2 Te8'
_symmetry_space_group_name_H-M 'P 1'
_symmetry_Int_Tables_number 1
_cell_length_a 7.669
_cell_length_b 9.378
_cell_length_c 9.123
_cell_angle_alpha 115.05
_cell_angle_beta 90.00
_cell_angle_gamma 90.00
loop_
_symmetry_equiv_pos_as_xyz
'x,y,z'
loop_
_atom_site_label
_atom_site_type_symbol
_atom_site_fract_x
_atom_site_fract_y
_atom_site_fract_z
_atom_site_occupancy
Rb1 Rb 0.250 0.317 0.115 1
Rb2 Rb 0.750 0.683 0.885 1
Rb3 Rb 0.750 0.061 0.661 1
Rb4 Rb 0.250 0.939 0.339 1
Ta1 Ta 0.250 0.608 0.642 1
Ta2 Ta 0.750 0.392 0.358 1
Te1 Te 0.483 0.343 0.546 1
Te2 Te 0.250 0.606 0.932 1
Te3 Te 0.750 0.394 0.068 1
Te4 Te 0.017 0.343 0.546 1
Te5 Te 0.750 0.072 0.245 1
Te6 Te 0.983 0.657 0.454 1
Te7 Te 0.517 0.657 0.454 1
Te8 Te 0.250 0.928 0.755 1
```

Calculated values
Crystal system: monoclinic
M_tot (μB/atom): 0.000
DFT total energy (eV/atom): -4.301
Formation energy without anion corrections (eV/atom): -0.536



No. 3
Density functional theory data (GGA-PBE) for a relaxed structure of Zr2ZnAsOs.

Geometry as CIF:
```
data_Zr2ZnAsOs
_chemical_formula_sum 'Zr2 Zn1 As1 Os1'
_symmetry_space_group_name_H-M 'P 1'
_symmetry_Int_Tables_number 1
_cell_length_a 5.132
_cell_length_b 4.612
_cell_length_c 5.132
_cell_angle_alpha 90.00
_cell_angle_beta 90.00
_cell_angle_gamma 90.00
loop_
_symmetry_equiv_pos_as_xyz
'x,y,z'
loop_
_atom_site_label
_atom_site_type_symbol
_atom_site_fract_x
_atom_site_fract_y
_atom_site_fract_z
_atom_site_occupancy
As1 As 0.000 0.500 0.000 1
Os1 Os 0.000 0.000 0.000 1
Zn1 Zn 0.500 0.500 0.500 1
Zr1 Zr 0.000 0.000 0.500 1
Zr2 Zr 0.500 0.000 0.000 1
```

Calculated values
Crystal system: tetragonal
Formation enthalpy at 0 K (eV per formula unit): 1.981
M_tot (μB/atom): 0.000
DFT total energy (eV/atom): -6.454